Record 1
# Pa2ReIr | the Alexandria database | PBE | relaxed
# energy above the most stable polymorph in this dataset = 74 meV per atom
# E_form = -0.2662 eV/atom
data_Pa2ReIr
_chemical_formula_sum 'Pa8 Re4 Ir4'
_space_group_name_H-M_alt 'F m -3 m'
_space_group_IT_number 225
_space_group_name_Hall '-F 4 2 3'
_cell_length_a 6.916
_cell_length_b 6.916
_cell_length_c 6.916
_cell_angle_alpha 90.00
_cell_angle_beta 90.00
_cell_angle_gamma 90.00
loop_
_atom_site_label
_atom_site_fract_x
_atom_site_fract_y
_atom_site_fract_z
Pa1 0.250 0.250 0.250
Re1 0.000 0.000 0.000
Ir1 0.000 0.000 0.500

Record 2
# Pa2ReIr | the Alexandria database | PBE | relaxed
# energy above the most stable polymorph in this dataset = 0 meV per atom
# E_form = -0.3401 eV/atom
data_Pa2ReIr
_chemical_formula_sum 'Pa6 Re3 Ir3'
_space_group_name_H-M_alt 'R -3 m'
_space_group_IT_number 166
_space_group_name_Hall '-R 3 2"'
_cell_length_a 3.9854
_cell_length_b 3.9854
_cell_length_c 19.5575
_cell_angle_alpha 90.00
_cell_angle_beta 90.00
_cell_angle_gamma 120.00
loop_
_atom_site_label
_atom_site_fract_x
_atom_site_fract_y
_atom_site_fract_z
Pa1 0.0000 0.0000 0.2478
Re1 0.0000 0.0000 0.5000
Ir1 0.0000 0.0000 0.0000

Record 3
# PaReIr2 | the Alexandria database | PBE | relaxed
# E_form = -0.5053 eV/atom
data_PaReIr2
_chemical_formula_sum 'Pa1 Re1 Ir2'
_space_group_name_H-M_alt 'P 4/m m m'
_space_group_IT_number 123
_space_group_name_Hall '-P 4 2'
_cell_length_a 4.105
_cell_length_b 4.105
_cell_length_c 4.076
_cell_angle_alpha 90.00
_cell_angle_beta 90.00
_cell_angle_gamma 90.00
loop_
_atom_site_label
_atom_site_fract_x
_atom_site_fract_y
_atom_site_fract_z
Pa1 0.000 0.000 0.000
Re1 0.500 0.500 0.000
Ir1 0.000 0.500 0.500

Record 4
# ScPaReIr | the Alexandria database | PBE | relaxed
# E_form = -0.4398 eV/atom
data_ScPaReIr
_chemical_formula_sum 'Sc4 Pa4 Re4 Ir4'
_space_group_name_H-M_alt 'F -4 3 m'
_space_group_IT_number 216
_space_group_name_Hall 'F -4 2 3'
_cell_length_a 6.734
_cell_length_b 6.734
_cell_length_c 6.734
_cell_angle_alpha 90.00
_cell_angle_beta 90.00
_cell_angle_gamma 90.00
loop_
_atom_site_label
_atom_site_fract_x
_atom_site_fract_y
_atom_site_fract_z
Sc1 0.000 0.000 0.000
Pa1 0.000 0.000 0.500
Re1 0.250 0.250 0.250
Ir1 0.250 0.250 0.750

Record 5
# Pa2ReSi3Ir4 | the Alexandria database | PBE | relaxed
# formation energy without anion corrections = -0.786 eV/atom
data_Pa2ReSi3Ir4
_chemical_formula_sum 'Pa2 Re1 Si3 Ir4'
_space_group_name_H-M_alt 'P -4 m 2'
_space_group_IT_number 115
_space_group_name_Hall 'P -4 -2'
_cell_length_a 4.081
_cell_length_b 4.081
_cell_length_c 10.346
_cell_angle_alpha 90.00
_cell_angle_beta 90.00
_cell_angle_gamma 90.00
loop_
_atom_site_label
_atom_site_fract_x
_atom_site_fract_y
_atom_site_fract_z
Pa1 0.000 0.500 0.242
Re1 0.000 0.000 0.500
Si1 0.000 0.500 0.870
Si2 0.500 0.500 0.500
Ir1 0.000 0.000 0.000
Ir2 0.000 0.500 0.640
Ir3 0.500 0.500 0.000

Record 6
# PaReSi2Ir | the Alexandria database | PBE | relaxed
# formation energy without anion corrections = -0.737 eV/atom
data_PaReSi2Ir
_chemical_formula_sum 'Pa2 Re2 Si4 Ir2'
_space_group_name_H-M_alt 'I -4 m 2'
_space_group_IT_number 119
_space_group_name_Hall 'I -4 -2'
_cell_length_a 4.193
_cell_length_b 4.193
_cell_length_c 9.666
_cell_angle_alpha 90.00
_cell_angle_beta 90.00
_cell_angle_gamma 90.00
loop_
_atom_site_label
_atom_site_fract_x
_atom_site_fract_y
_atom_site_fract_z
Pa1 0.000 0.000 0.000
Re1 0.000 0.500 0.250
Si1 0.000 0.000 0.375
Ir1 0.000 0.500 0.750

Record 7
# PaIrRh | the Alexandria database | PBE | relaxed
# energy above the most stable polymorph in this dataset = 316 meV per atom
# E_form = -0.5012 eV/atom
data_PaIrRh
_chemical_formula_sum 'Pa1 Ir1 Rh1'
_space_group_name_H-M_alt 'P -6 m 2'
_space_group_IT_number 187
_space_group_name_Hall 'P -6 2'
_cell_length_a 4.3636
_cell_length_b 4.3636
_cell_length_c 3.6000
_cell_angle_alpha 90.00
_cell_angle_beta 90.00
_cell_angle_gamma 120.00
loop_
_atom_site_label
_atom_site_fract_x
_atom_site_fract_y
_atom_site_fract_z
Pa1 0.0000 0.0000 0.0000
Ir1 0.6667 0.3333 0.5000
Rh1 0.3333 0.6667 0.5000

Record 8
# PaIr2Rh | the Alexandria database | PBE | relaxed
# energy above the most stable polymorph in this dataset = 430 meV per atom
# E_form = -0.4406 eV/atom
data_PaIr2Rh
_chemical_formula_sum 'Pa3 Ir6 Rh3'
_space_group_name_H-M_alt 'R -3 m'
_space_group_IT_number 166
_space_group_name_Hall '-R 3 2"'
_cell_length_a 4.5520
_cell_length_b 4.5520
_cell_length_c 12.6587
_cell_angle_alpha 90.00
_cell_angle_beta 90.00
_cell_angle_gamma 120.00
loop_
_atom_site_label
_atom_site_fract_x
_atom_site_fract_y
_atom_site_fract_z
Pa1 0.0000 0.0000 0.0000
Ir1 0.0000 0.0000 0.2049
Rh1 0.0000 0.0000 0.5000

What did the second record say?
# Pa2ReIr | the Alexandria database | PBE | relaxed
# energy above the most stable polymorph in this dataset = 0 meV per atom
# E_form = -0.3401 eV/atom
data_Pa2ReIr
_chemical_formula_sum 'Pa6 Re3 Ir3'
_space_group_name_H-M_alt 'R -3 m'
_space_group_IT_number 166
_space_group_name_Hall '-R 3 2"'
_cell_length_a 3.9854
_cell_length_b 3.9854
_cell_length_c 19.5575
_cell_angle_alpha 90.00
_cell_angle_beta 90.00
_cell_angle_gamma 120.00
loop_
_atom_site_label
_atom_site_fract_x
_atom_site_fract_y
_atom_site_fract_z
Pa1 0.0000 0.0000 0.2478
Re1 0.0000 0.0000 0.5000
Ir1 0.0000 0.0000 0.0000